! Cs2Mn3S4 PBE optimized geometry; values from VASP
! - Magnetization: 4.98 μB per cell
! - E_form (uncorrected): -0.95 eV/atom
! - Symmetry: C222, No. 21
! - V: 231.7 Å³/cell
&SYSTEM
  ibrav = 0, nat = 9, ntyp = 3
/
ATOMIC_SPECIES
Cs 132.91 Cs.upf
Mn 54.94 Mn.upf
S 32.06 S.upf
CELL_PARAMETERS angstrom
7.6859 -0.1831 0.0000
-5.4480 5.4246 0.0000
0.0000 0.0000 5.6936
ATOMIC_POSITIONS crystal
Cs 0.5000 0.0000 0.2453
Cs 0.0000 0.5000 0.7547
Mn 0.5000 0.5000 0.5000
Mn 0.0000 0.0000 0.5000
Mn 0.5000 0.5000 0.0000
S 0.1715 0.3547 0.2634
S 0.6453 0.8285 0.7366
S 0.8285 0.6453 0.2634
S 0.3547 0.1715 0.7366